# 1
5
Lattice="5.076 0.000 0.000 0.000 5.076 0.000 0.000 0.000 5.076" Properties=species:S:1:pos:R:3 comment="SrAl3Ge (PBE, relaxed)" dos_at_fermi_per_ev_cell=3.47 relative_energy_mev_per_atom=556 spacegroup=Pm-3m formation_energy_ev_per_atom=0.2892 pbc="T T T"
Al 0.000 0.000 2.538
Al 2.538 0.000 0.000
Sr 2.538 2.538 2.538
Al 0.000 2.538 0.000
Ge 0.000 0.000 0.000

***

# 2
5
Lattice="3.688 0.000 0.000 0.000 3.688 0.000 0.000 0.000 3.688" Properties=species:S:1:pos:R:3 comment="TbH3Ir (PBE, relaxed)" dos_at_fermi_per_ev_cell=0.74 spacegroup=Pm-3m pbc="T T T"
Ir 0.000 0.000 0.000
Tb 1.844 1.844 1.844
H 0.000 1.844 0.000
H 1.844 0.000 0.000
H 0.000 0.000 1.844

***

# 3
5
Lattice="-3.288 0.034 -2.000 -1.443 -2.704 2.327 -4.268 2.425 3.354" Properties=species:S:1:pos:R:3 comment="HfAl2Cu2 (PBE, relaxed)" dos_at_fermi_per_ev_cell=2.87 relative_energy_mev_per_atom=0 spacegroup=I4/mmm formation_energy_ev_per_atom=-0.2439 pbc="T T T"
Cu -2.776 -0.523 0.852
Hf 0.000 0.000 0.000
Al -4.960 0.561 0.759
Al -4.038 -0.807 2.922
Cu -6.222 0.277 2.829

***

# 4
7
Lattice="-3.775 -2.081 -4.457 2.178 -6.177 -3.273 -4.402 -5.503 1.986" Properties=species:S:1:pos:R:3 comment="SrHg5Bi (PBE, relaxed)" dos_at_fermi_per_ev_cell=1.81 spacegroup=Imm2 formation_energy_ev_per_atom=-0.0332 pbc="T T T"
Hg -0.004 -6.551 -3.339
Hg -0.943 -3.042 -0.790
Bi -3.207 -6.995 -3.117
Hg -4.048 -6.137 -0.107
Hg -1.305 -5.946 -0.872
Sr -2.803 -1.546 -3.310
Hg -3.915 -10.090 -3.606

***

# 5
12
Lattice="-1.788 5.365 -0.814 -1.584 -4.156 -3.587 -3.826 -1.511 4.905" Properties=species:S:1:pos:R:3 comment="K3Zn2BiO6 (PBE, relaxed)" formation_energy_uncorrected_ev_per_atom=-1.29 spacegroup=C2/m pbc="T T T"
Bi 0.000 0.000 0.000
O -5.767 1.247 1.056
K -3.532 -3.253 -0.651
O -5.700 -1.847 0.155
Zn -1.720 2.188 -1.739
Zn -1.652 -0.979 -2.662
K -3.599 -0.151 0.252
O -1.497 1.545 0.349
K -3.665 2.952 1.156
O -3.209 0.607 -2.321
O -3.988 -0.909 2.826
O -1.431 -1.549 -0.552

***

# 6
5
Lattice="4.735 0.000 0.000 0.000 4.735 0.000 0.000 0.000 4.735" Properties=species:S:1:pos:R:3 comment="Nb3CuSe (PBE, relaxed)" dos_at_fermi_per_ev_cell=8.12 relative_energy_mev_per_atom=0 formation_energy_uncorrected_ev_per_atom=0.90 spacegroup=Pm-3m pbc="T T T"
Nb 0.000 0.000 2.367
Nb 0.000 2.367 0.000
Nb 2.367 0.000 0.000
Se 0.000 0.000 0.000
Cu 2.367 2.367 2.367

***

# 7
5
Lattice="-1.520 -5.512 -2.824 -1.931 -2.341 5.608 -5.884 2.193 -1.111" Properties=species:S:1:pos:R:3 comment="Sr3YGe (PBE, relaxed)" dos_at_fermi_per_ev_cell=3.42 relative_energy_mev_per_atom=880 spacegroup=Pm-3m formation_energy_ev_per_atom=0.9670 pbc="T T T"
Y 0.000 0.000 0.000
Sr -0.966 -1.171 2.804
Sr -2.942 1.096 -0.556
Ge -4.668 -2.830 0.836
Sr -0.760 -2.756 -1.412

***

We obtain raw total energy values of -16.081; -26.053; -26.850; -7.304; -54.968; -33.292; -11.292 eV per cell for the records listed above, in that order.